Entry w
DFT (PBE) results for a relaxed structure of KRbCdHg.

Cell and atoms, written as POSCAR:
```
KRbCdHg
1.0
0.000 4.384 4.384
4.384 0.000 4.384
4.384 4.384 0.000
K Rb Cd Hg
1 1 1 1
direct
0.000 0.000 0.000
0.500 0.500 0.500
0.250 0.250 0.250
0.750 0.750 0.750
```

Calculated values
Space-group type = F-43m


Entry x
DFT (PBE) results for a relaxed structure of KRbCdHg.

Cell and atoms, written as POSCAR:
```
KRbCdHg
1.0
4.625 -2.605 0.000
4.625 2.605 0.000
-3.038 0.000 7.719
K Rb Cd Hg
1 1 1 1
direct
0.000 0.000 0.000
0.182 0.182 0.558
0.418 0.418 0.257
0.750 0.750 0.260
```

Calculated values
Space-group type = Cm


Most stable structure: entry x


Entry w
DFT (PBE) results for a relaxed structure of KCd2HgRh.

Cell and atoms, written as POSCAR:
```
KCd2HgRh
1.0
5.255 0.000 0.000
0.000 5.255 0.000
0.000 0.000 5.341
K Cd Hg Rh
1 2 1 1
direct
0.000 0.000 0.000
0.000 0.500 0.500
0.500 0.000 0.500
0.500 0.500 0.000
0.500 0.500 0.500
```

Calculated values
Space-group type = P4/mmm


Entry x
DFT (PBE) results for a relaxed structure of KCd2HgRh.

Cell and atoms, written as POSCAR:
```
KCd2HgRh
1.0
5.325 0.000 0.000
0.000 5.325 0.000
0.000 0.000 5.879
K Cd Hg Rh
1 2 1 1
direct
0.000 0.000 0.000
0.000 0.500 0.500
0.500 0.000 0.500
0.000 0.000 0.500
0.500 0.500 0.000
```

Calculated values
Space-group type = P4/mmm


Most stable structure: entry w